(1)
The following is a DFT calculation (PBE-GGA) of a relaxed structure of BaHf2CuAs4.

Results
Energy of formation from the pure elements   -0.788 eV per atom
Symmetry   No. 63
Spin magnetization   0.00 μB per atom
D(E_F)   1.95 states/eV/f.u.

Lattice parameters (Å, degrees): 3.9655 7.1686 13.5795 90.00 90.00 106.06
Last column: nearest neighbours and their distance in Å.
Atoms (fractional coordinates):
As 0.0000 0.0000 0.5000  4 Hf 2.76
As 0.5625 0.1251 0.2500  2 Cu 2.39
As 0.4375 0.8749 0.7500  2 Cu 2.39
As 0.7430 0.4860 0.8981  1 Cu 2.42
As 0.7430 0.4860 0.6019  1 Cu 2.42
As 0.2570 0.5140 0.1019  1 Cu 2.42
As 0.2570 0.5140 0.3981  1 Cu 2.42
As 0.0000 0.0000 0.0000  4 Hf 2.76
Cu 0.8404 0.6808 0.7500  4 As 2.39-2.42
Cu 0.1596 0.3192 0.2500  4 As 2.39-2.42
Hf 0.6251 0.2502 0.4368  6 As 2.68-2.77
Hf 0.6251 0.2502 0.0632  6 As 2.68-2.77
Hf 0.3749 0.7498 0.9368  6 As 2.68-2.77
Hf 0.3749 0.7498 0.5632  6 As 2.68-2.77
Ba 0.1183 0.2365 0.7500  6 As 3.18-3.31
Ba 0.8817 0.7635 0.2500  6 As 3.18-3.31

(2)
The following is a DFT calculation (PBE-GGA) of a relaxed structure of BaCuHg2As.

Results
Energy of formation from the pure elements   -0.287 eV per atom
Symmetry   No. 123
Spin magnetization   0.00 μB per atom
D(E_F)   1.44 states/eV/f.u.

Lattice parameters (Å, degrees): 5.1418 5.1418 5.0877 90.00 90.00 90.00
Last column: nearest neighbours and their distance in Å.
Atoms (fractional coordinates):
Hg 0.0000 0.5000 0.0000  2 Cu 2.57
Hg 0.5000 0.0000 0.0000  2 Cu 2.57
Cu 0.0000 0.0000 0.0000  2 As 2.54, 4 Hg 2.57
As 0.0000 0.0000 0.5000  2 Cu 2.54
Ba 0.5000 0.5000 0.5000  8 Hg 3.62, 4 As 3.64

(3)
The following is a DFT calculation (PBE-GGA) of a relaxed structure of Ba6CuAs2I3.

Results
Symmetry   No. 12
Spin magnetization   0.17 μB per atom
Formation energy (no corrections)   -1.1602 eV per atom
D(E_F)   7.29 states/eV/f.u.

Lattice parameters (Å, degrees): 8.3678 8.3678 8.8963 99.12 99.12 119.92
Last column: nearest neighbours and their distance in Å.
Atoms (fractional coordinates):
Cu 0.0000 0.0000 0.0000  6 Ba 3.33-3.36
I 0.1687 0.8313 0.5000  6 Ba 3.67-3.75
I 0.5000 0.5000 0.5000  6 Ba 3.68-3.74
I 0.8313 0.1687 0.5000  6 Ba 3.67-3.75
Ba 0.5921 0.9310 0.7926  2 As 3.27-3.28, 1 Cu 3.33
Ba 0.0690 0.4079 0.2074  2 As 3.27-3.28, 1 Cu 3.33
Ba 0.4079 0.0690 0.2074  2 As 3.27-3.28, 1 Cu 3.33
Ba 0.7292 0.7292 0.2092  2 As 3.27, 1 Cu 3.36
Ba 0.2708 0.2708 0.7908  2 As 3.27, 1 Cu 3.36
Ba 0.9310 0.5921 0.7926  2 As 3.27-3.28, 1 Cu 3.33
As 0.3335 0.6665 0.0000  6 Ba 3.27-3.28
As 0.6665 0.3335 0.0000  6 Ba 3.27-3.28

(4)
The following is a DFT calculation (PBE-GGA) of a relaxed structure of Ba8CuAs3I4.

Results
Symmetry   No. 166
Spin magnetization   0.13 μB per atom
Formation energy (no corrections)   -1.2396 eV per atom
D(E_F)   7.65 states/eV/f.u.

Lattice parameters (Å, degrees): 9.6736 10.1130 9.6774 118.59 119.99 90.00
Last column: nearest neighbours and their distance in Å.
Atoms (fractional coordinates):
I 0.0000 0.0000 0.0000  6 Ba 3.74
I 0.0000 0.0000 0.5000  6 Ba 3.74
I 0.5000 0.0000 0.5000  6 Ba 3.74
I 0.5000 0.0000 0.0000  6 Ba 3.70
Ba 0.2379 0.7074 0.4759  2 As 3.28, 1 Cu 3.33
Ba 0.7350 0.7051 0.4700  3 As 3.28-3.29
Ba 0.2650 0.2949 0.5300  3 As 3.28-3.29
Ba 0.7318 0.7073 0.9695  2 As 3.28, 1 Cu 3.32
Ba 0.7623 0.2927 0.0305  2 As 3.28, 1 Cu 3.32
Ba 0.2682 0.2927 0.0305  2 As 3.28, 1 Cu 3.32
Ba 0.2377 0.7073 0.9695  2 As 3.28, 1 Cu 3.32
Ba 0.7621 0.2926 0.5241  2 As 3.28, 1 Cu 3.33
As 0.5000 0.5000 0.5000  6 Ba 3.28
As 0.0000 0.5000 0.5000  6 Ba 3.28
As 0.5000 0.5000 0.0000  6 Ba 3.28-3.29
Cu 0.0000 0.5000 0.0000  6 Ba 3.32-3.33

(5)
The following is a DFT calculation (PBE-GGA) of a relaxed structure of BaLiCuAs2.

Results
Energy of formation from the pure elements   -0.691 eV per atom
Symmetry   No. 119
Spin magnetization   0.00 μB per atom
D(E_F)   1.03 states/eV/f.u.

Lattice parameters (Å, degrees): 4.4879 4.4879 6.1460 111.41 111.41 90.00
Last column: nearest neighbours and their distance in Å.
Atoms (fractional coordinates):
Ba 0.0000 0.0000 0.0000  8 As 3.44, 4 Li 3.46, 4 Cu 3.46
Li 0.7500 0.2500 0.5000  4 As 2.59
As 0.6266 0.6266 0.2533  2 Cu 2.59, 2 Li 2.59, 1 As 2.67
As 0.3734 0.3734 0.7467  2 Cu 2.59, 2 Li 2.59, 1 As 2.67
Cu 0.2500 0.7500 0.5000  4 As 2.59

(6)
The following is a DFT calculation (PBE-GGA) of a relaxed structure of Ba2MgCu3As4.

Results
Energy of formation from the pure elements   -0.616 eV per atom
Symmetry   No. 115
Spin magnetization   0.00 μB per atom
D(E_F)   2.41 states/eV/f.u.

Lattice parameters (Å, degrees): 4.4977 4.4977 10.6062 90.00 90.00 90.00
Last column: nearest neighbours and their distance in Å.
Atoms (fractional coordinates):
Ba 0.0000 0.5000 0.7590  8 As 3.40-3.42, 7 Cu 3.46-3.76, 2 Mg 3.55
Ba 0.5000 0.0000 0.2410  8 As 3.40-3.42, 7 Cu 3.46-3.76, 2 Mg 3.55
As 0.5000 0.0000 0.6399  3 Cu 2.61-2.69, 2 Mg 2.69
As 0.0000 0.0000 0.0000  4 Cu 2.55
As 0.5000 0.5000 0.0000  4 Cu 2.55
As 0.0000 0.5000 0.3601  3 Cu 2.61-2.69, 2 Mg 2.69
Cu 0.0000 0.0000 0.5000  4 As 2.69
Cu 0.5000 0.0000 0.8863  5 As 2.55-2.61
Cu 0.0000 0.5000 0.1137  5 As 2.55-2.61
Mg 0.5000 0.5000 0.5000  4 As 2.69

(7)
The following is a DFT calculation (PBE-GGA) of a relaxed structure of BaMgCuAs2.

Results
Energy of formation from the pure elements   -0.676 eV per atom
Symmetry   No. 119
Spin magnetization   0.00 μB per atom
D(E_F)   2.24 states/eV/f.u.

Lattice parameters (Å, degrees): 4.2502 4.2502 7.1679 107.25 107.25 90.00
Last column: nearest neighbours and their distance in Å.
Atoms (fractional coordinates):
As 0.6339 0.6339 0.2678  2 Mg 2.61, 2 Cu 2.61
As 0.3661 0.3661 0.7322  2 Mg 2.61, 2 Cu 2.61
Cu 0.2500 0.7500 0.5000  4 As 2.61
Ba 0.0000 0.0000 0.0000  8 As 3.47, 4 Mg 3.89, 4 Cu 3.89
Mg 0.7500 0.2500 0.5000  4 As 2.61

(8)
The following is a DFT calculation (PBE-GGA) of a relaxed structure of BaNaCu2As.

Results
Energy of formation from the pure elements   0.341 eV per atom
Symmetry   No. 123
Spin magnetization   0.00 μB per atom
D(E_F)   2.53 states/eV/f.u.

Lattice parameters (Å, degrees): 4.9732 5.3558 4.9732 90.00 90.00 90.00
Last column: nearest neighbours and their distance in Å.
Atoms (fractional coordinates):
Ba 0.5000 0.5000 0.5000  4 As 3.52, 8 Cu 3.65
Cu 0.0000 0.0000 0.5000  2 Na 2.49
Cu 0.5000 0.0000 0.0000  2 Na 2.49
As 0.0000 0.5000 0.0000  2 Na 2.68
Na 0.0000 0.0000 0.0000  4 Cu 2.49, 2 As 2.68

(9)
The following is a DFT calculation (PBE-GGA) of a relaxed structure of Ba2NbCuAs.

Results
Energy of formation from the pure elements   0.269 eV per atom
Symmetry   No. 123
Spin magnetization   0.69 μB per atom
D(E_F)   4.29 states/eV/f.u.

Lattice parameters (Å, degrees): 6.3729 4.9556 6.3729 90.00 90.00 90.00
Last column: nearest neighbours and their distance in Å.
Atoms (fractional coordinates):
Ba 0.0000 0.0000 0.5000  2 As 3.19
Ba 0.5000 0.0000 0.0000  2 As 3.19
Cu 0.5000 0.5000 0.5000  8 Ba 4.04, 4 Nb 4.51
Nb 0.0000 0.5000 0.0000  2 As 2.48
As 0.0000 0.0000 0.0000  2 Nb 2.48

(10)
The following is a DFT calculation (PBE-GGA) of a relaxed structure of BaNdCu2As2.

Results
Energy of formation from the pure elements   -0.821 eV per atom
Symmetry   No. 164
Spin magnetization   0.00 μB per atom
D(E_F)   4.01 states/eV/f.u.

Lattice parameters (Å, degrees): 4.2315 4.2315 8.9257 90.00 90.00 120.00
Last column: nearest neighbours and their distance in Å.
Atoms (fractional coordinates):
Ba 0.0000 0.0000 0.0000  6 As 3.45, 6 Cu 3.50
Cu 0.3333 0.6667 0.7195  3 As 2.44
Cu 0.6667 0.3333 0.2805  3 As 2.44
As 0.3333 0.6667 0.2736  3 Cu 2.44
As 0.6667 0.3333 0.7264  3 Cu 2.44
Nd 0.0000 0.0000 0.5000  6 Cu 3.13, 6 As 3.17

(11)
The following is a DFT calculation (PBE-GGA) of a relaxed structure of BaCuNiAs2.

Results
Energy of formation from the pure elements   -0.570 eV per atom
Symmetry   No. 119
Spin magnetization   0.00 μB per atom
D(E_F)   3.16 states/eV/f.u.

Lattice parameters (Å, degrees): 4.2182 4.2182 6.5498 108.78 108.78 90.00
Last column: nearest neighbours and their distance in Å.
Atoms (fractional coordinates):
Ni 0.7500 0.2500 0.5000  4 As 2.42
As 0.6480 0.6480 0.2961  2 Ni 2.42, 2 Cu 2.42
As 0.3520 0.3520 0.7039  2 Cu 2.42, 2 Ni 2.42
Ba 0.0000 0.0000 0.0000  8 As 3.45, 4 Ni 3.60, 4 Cu 3.60
Cu 0.2500 0.7500 0.5000  4 As 2.42

(12)
The following is a DFT calculation (PBE-GGA) of a relaxed structure of Ba3CuAs2O8.

Results
Symmetry   No. 164
Spin magnetization   0.00 μB per atom
Formation energy (no corrections)   -1.8473 eV per atom
D(E_F)   2.26 states/eV/f.u.

Lattice parameters (Å, degrees): 5.8992 5.8992 7.6530 90.00 90.00 120.00
Last column: nearest neighbours and their distance in Å.
Atoms (fractional coordinates):
O 0.3333 0.6667 0.9785  1 As 1.76
O 0.3454 0.1727 0.6960  1 As 1.80
O 0.6546 0.8273 0.3040  1 As 1.80
O 0.1727 0.3454 0.3040  1 As 1.80
O 0.8273 0.6546 0.6960  1 As 1.80
O 0.6667 0.3333 0.0215  1 As 1.76
O 0.1727 0.8273 0.3040  1 As 1.80
O 0.8273 0.1727 0.6960  1 As 1.80
Ba 0.6667 0.3333 0.3538  1 O 2.54
Ba 0.0000 0.0000 0.0000  6 O 2.92
Ba 0.3333 0.6667 0.6462  1 O 2.54
As 0.6667 0.3333 0.7921  4 O 1.76-1.80
As 0.3333 0.6667 0.2079  4 O 1.76-1.80
Cu 0.0000 0.0000 0.5000  6 O 2.32